[1]
Density functional theory data (meta-GGA SCAN) for ZrCo2Os at its PBEsol-relaxed geometry.

Cell and atoms, written as CIF:
```
data_ZrCo2Os
_chemical_formula_sum 'Zr1 Co2 Os1'
_space_group_name_H-M_alt 'P 1 m 1'
_space_group_IT_number 6
_cell_length_a 2.770
_cell_length_b 4.029
_cell_length_c 4.999
_cell_angle_alpha 90.00
_cell_angle_beta 105.97
_cell_angle_gamma 90.00
loop_
_space_group_symop_operation_xyz
'x,y,z'
'x,-y,z'
loop_
_atom_site_label
_atom_site_type_symbol
_atom_site_fract_x
_atom_site_fract_y
_atom_site_fract_z
_atom_site_occupancy
Zr1 Zr 0.000 0.000 0.000 1
Co1 Co 0.595 0.500 0.191 1
Co2 Co 0.734 0.000 0.474 1
Os1 Os 0.309 0.500 0.621 1
```

Computed properties:
- energy above the lowest structure with this stoichiometry (kJ/mol of atoms) = 2.2
- Fermi-level density of states (states/eV/atom) = 0.735
- calculated formation energy (kcal/mol of atoms) = 0.83

=====

[2]
Density functional theory data (meta-GGA SCAN) for Zr2CoOs at its PBEsol-relaxed geometry.

Cell and atoms, written as CIF:
```
data_Zr2CoOs
_chemical_formula_sum 'Zr2 Co1 Os1'
_space_group_name_H-M_alt 'P 4/m m m'
_space_group_IT_number 123
_space_group_name_Hall '-P 4 2'
_cell_length_a 4.535
_cell_length_b 4.535
_cell_length_c 3.200
_cell_angle_alpha 90.00
_cell_angle_beta 90.00
_cell_angle_gamma 90.00
loop_
_atom_site_label
_atom_site_type_symbol
_atom_site_fract_x
_atom_site_fract_y
_atom_site_fract_z
_atom_site_occupancy
Zr1 Zr 0.000 0.500 0.000 1
Co1 Co 0.000 0.000 0.500 1
Os1 Os 0.500 0.500 0.500 1
```

Computed properties:
- energy above the lowest structure with this stoichiometry (kJ/mol of atoms) = 0.9
- Fermi-level density of states (states/eV/atom) = 0.459
- calculated formation energy (kcal/mol of atoms) = -13.71

=====

[3]
Density functional theory data (meta-GGA SCAN) for Co4P at its PBEsol-relaxed geometry.

Cell and atoms, written as CIF:
```
data_Co4P
_chemical_formula_sum 'Co8 P2'
_space_group_name_H-M_alt 'I 4/m'
_space_group_IT_number 87
_space_group_name_Hall '-I 4'
_cell_length_a 5.345
_cell_length_b 5.345
_cell_length_c 3.510
_cell_angle_alpha 90.00
_cell_angle_beta 90.00
_cell_angle_gamma 90.00
loop_
_atom_site_label
_atom_site_type_symbol
_atom_site_fract_x
_atom_site_fract_y
_atom_site_fract_z
_atom_site_occupancy
Co1 Co 0.107 0.305 0.000 1
P1 P 0.000 0.000 0.500 1
```

Computed properties:
- energy above the lowest structure with this stoichiometry (kJ/mol of atoms) = 0.0
- Fermi-level density of states (states/eV/atom) = 0.910
- calculated formation energy (kcal/mol of atoms) = -0.10

=====

[4]
Density functional theory data (meta-GGA SCAN) for CoP3 at its PBEsol-relaxed geometry.

Cell and atoms, written as CIF:
```
data_CoP3
_chemical_formula_sum 'Co1 P3'
_space_group_name_H-M_alt 'P -4 m 2'
_space_group_IT_number 115
_cell_length_a 3.309
_cell_length_b 3.309
_cell_length_c 5.068
_cell_angle_alpha 90.00
_cell_angle_beta 90.00
_cell_angle_gamma 90.00
loop_
_space_group_symop_operation_xyz
'x,y,z'
'y,-x,-z'
'-x,-y,z'
'-y,x,-z'
'-x,y,z'
'-y,-x,-z'
'x,-y,z'
'y,x,-z'
loop_
_atom_site_label
_atom_site_type_symbol
_atom_site_fract_x
_atom_site_fract_y
_atom_site_fract_z
_atom_site_occupancy
Co1 Co 0.000 0.000 0.000 1
P1 P 0.000 0.500 0.318 1
P2 P 0.500 0.500 0.000 1
```

Computed properties:
- energy above the lowest structure with this stoichiometry (kJ/mol of atoms) = 71.0
- Fermi-level density of states (states/eV/atom) = 0.466
- calculated formation energy (kcal/mol of atoms) = 4.87

=====

[5]
Density functional theory data (meta-GGA SCAN) for CoP at its PBEsol-relaxed geometry.

Cell and atoms, written as CIF:
```
data_CoP
_chemical_formula_sum 'Co4 P4'
_space_group_name_H-M_alt 'P n m a'
_space_group_IT_number 62
_cell_length_a 5.000
_cell_length_b 3.232
_cell_length_c 5.467
_cell_angle_alpha 90.00
_cell_angle_beta 90.00
_cell_angle_gamma 90.00
loop_
_space_group_symop_operation_xyz
'x,y,z'
'-x,-y,-z'
'-x+1/2,-y,z+1/2'
'x+1/2,y,-z+1/2'
'x+1/2,-y+1/2,-z+1/2'
'-x+1/2,y+1/2,z+1/2'
'-x,y+1/2,-z'
'x,-y+1/2,z'
loop_
_atom_site_label
_atom_site_type_symbol
_atom_site_fract_x
_atom_site_fract_y
_atom_site_fract_z
_atom_site_occupancy
Co1 Co 0.002 0.250 0.195 1
P1 P 0.190 0.250 0.583 1
```

Computed properties:
- Fermi-level density of states (states/eV/atom) = 0.447
- calculated formation energy (kcal/mol of atoms) = -11.96

=====

[6]
Density functional theory data (meta-GGA SCAN) for CoP3 at its PBEsol-relaxed geometry.

Cell and atoms, written as CIF:
```
data_CoP3
_chemical_formula_sum 'Co2 P6'
_space_group_name_H-M_alt 'C m m m'
_space_group_IT_number 65
_space_group_name_Hall '-C 2 2'
_cell_length_a 4.202
_cell_length_b 7.513
_cell_length_c 3.495
_cell_angle_alpha 90.00
_cell_angle_beta 90.00
_cell_angle_gamma 90.00
loop_
_atom_site_label
_atom_site_type_symbol
_atom_site_fract_x
_atom_site_fract_y
_atom_site_fract_z
_atom_site_occupancy
Co1 Co 0.000 0.000 0.000 1
P1 P 0.000 0.187 0.500 1
P2 P 0.000 0.500 0.000 1
```

Computed properties:
- energy above the lowest structure with this stoichiometry (kJ/mol of atoms) = 52.9
- Fermi-level density of states (states/eV/atom) = 0.480
- calculated formation energy (kcal/mol of atoms) = 0.54

=====

[7]
Density functional theory data (meta-GGA SCAN) for CoP3 at its PBEsol-relaxed geometry.

Cell and atoms, written as CIF:
```
data_CoP3
_chemical_formula_sum 'Co1 P3'
_space_group_name_H-M_alt 'P -6 m 2'
_space_group_IT_number 187
_space_group_name_Hall 'P -6 2'
_cell_length_a 2.6706
_cell_length_b 2.6706
_cell_length_c 8.2594
_cell_angle_alpha 90.00
_cell_angle_beta 90.00
_cell_angle_gamma 120.00
loop_
_atom_site_label
_atom_site_type_symbol
_atom_site_fract_x
_atom_site_fract_y
_atom_site_fract_z
_atom_site_occupancy
Co1 Co 0.0000 0.0000 0.0000 1
P1 P 0.0000 0.0000 0.5000 1
P2 P 0.3333 0.6667 0.2072 1
```

Computed properties:
- energy above the lowest structure with this stoichiometry (kJ/mol of atoms) = 100.4
- Fermi-level density of states (states/eV/atom) = 0.557
- calculated formation energy (kcal/mol of atoms) = 11.88

=====

[8]
Density functional theory data (meta-GGA SCAN) for CoP3 at its PBEsol-relaxed geometry.

Cell and atoms, written as CIF:
```
data_CoP3
_chemical_formula_sum 'Co8 P24'
_space_group_name_H-M_alt 'I m -3'
_space_group_IT_number 204
_space_group_name_Hall '-I 2 2 3'
_cell_length_a 7.638
_cell_length_b 7.638
_cell_length_c 7.638
_cell_angle_alpha 90.00
_cell_angle_beta 90.00
_cell_angle_gamma 90.00
loop_
_atom_site_label
_atom_site_type_symbol
_atom_site_fract_x
_atom_site_fract_y
_atom_site_fract_z
_atom_site_occupancy
Co1 Co 0.250 0.250 0.250 1
P1 P 0.000 0.147 0.347 1
```

Computed properties:
- energy above the lowest structure with this stoichiometry (kJ/mol of atoms) = 0.0
- Fermi-level density of states (states/eV/atom) = 0.030
- calculated formation energy (kcal/mol of atoms) = -12.11